## Rb2U3FeO12 (GGA+U)

Data for Rb2U3FeO12 after structural relaxation.

## Properties
Total energy   -8.103 eV per atom

Unit cell a=7.8686 b=7.8686 c=17.6524 alpha=90.00 beta=90.00 gamma=120.00
Space group R-3m (No. 166, hexagonal axes)
Unique sites:
Rb 0.0000 0.0000 0.1304 x6
U 0.0000 0.5000 0.0000 x9
Fe 0.0000 0.0000 0.5000 x3
O 0.0771 0.5386 0.3650 x18
O 0.1026 0.5513 0.1061 x18